# PrHo5Tm4

PrHo5Tm4 after structural relaxation (PBE, Alexandria via LeMat-Bulk).

a = 7.811 Å, b = 7.811 Å, c = 7.811 Å
α = 99.34°, β = 99.34°, γ = 132.48°
Positions (direct):
1 Pr 0.000 0.000 0.000
2 Ho 0.038 0.130 0.621
3 Ho 0.130 0.509 0.092
4 Ho 0.417 0.038 0.908
5 Ho 0.509 0.417 0.379
6 Ho 0.544 0.544 0.000
7 Tm 0.120 0.822 0.402
8 Tm 0.420 0.718 0.598
9 Tm 0.718 0.120 0.298
10 Tm 0.822 0.420 0.702

For the density of states at the Fermi level, the calculation gives 13.6 states/eV/f.u. The calculation puts the energy of formation at 311 meV per atom. The calculation puts the total moment at 0.00 μB/cell. Its polymorph energy (0 for the lowest one) is 0.287 eV/atom. Its crystal system is tetragonal.

---

# Rb3Nd3IrO8

Rb3Nd3IrO8 after structural relaxation (PBE, Alexandria via LeMat-Bulk).

a = 7.762 Å, b = 7.762 Å, c = 7.762 Å
α = 54.18°, β = 54.18°, γ = 54.18°
Positions (direct):
1 Rb 0.000 0.500 0.500
2 Rb 0.500 0.000 0.500
3 Rb 0.500 0.500 0.000
4 Nd 0.000 0.000 0.500
5 Nd 0.000 0.500 0.000
6 Nd 0.500 0.000 0.000
7 Ir 0.500 0.500 0.500
8 O 0.227 0.227 0.227
9 O 0.257 0.704 0.704
10 O 0.296 0.296 0.743
11 O 0.296 0.743 0.296
12 O 0.704 0.257 0.704
13 O 0.704 0.704 0.257
14 O 0.743 0.296 0.296
15 O 0.773 0.773 0.773

As for the formation energy without anion corrections: -2.141 eV/atom. For the density of states at the Fermi level, the calculation gives 7.1 states/eV/f.u. The calculation puts the total moment at 1.06 μB/cell. Its crystal system is trigonal.

---

# NbPd

NbPd after structural relaxation (PBE, Alexandria via LeMat-Bulk).

a = 6.938 Å, b = 6.938 Å, c = 6.938 Å
α = 109.47°, β = 109.47°, γ = 109.47°
Positions (direct):
1 Nb 0.000 0.000 0.750
2 Nb 0.000 0.750 0.000
3 Nb 0.250 0.250 0.250
4 Nb 0.750 0.000 0.000
5 Pd 0.000 0.000 0.382
6 Pd 0.000 0.382 0.000
7 Pd 0.382 0.000 0.000
8 Pd 0.618 0.618 0.618

For the density of states at the Fermi level, the calculation gives 2.8 states/eV/f.u. The calculation puts the energy of formation at 1107 meV per atom. The calculation puts the total moment at 0.00 μB/cell. Its crystal system is cubic.

---

# Ta2CuNi

Ta2CuNi after structural relaxation (PBE, Alexandria via LeMat-Bulk).

a = 9.096 Å, b = 9.096 Å, c = 9.096 Å
α = 17.79°, β = 17.79°, γ = 17.79°
Positions (direct):
1 Ta 0.000 0.000 0.000
2 Ta 0.235 0.235 0.235
3 Cu 0.751 0.751 0.751
4 Ni 0.490 0.490 0.490

For the density of states at the Fermi level, the calculation gives 4.6 states/eV/f.u. The calculation puts the energy of formation at 188 meV per atom. The calculation puts the total moment at 0.00 μB/cell. Its polymorph energy (0 for the lowest one) is 0.257 eV/atom. Its crystal system is trigonal.

---

# ErTh2Ru

ErTh2Ru after structural relaxation (PBE, Alexandria via LeMat-Bulk).

a = 7.195 Å, b = 9.886 Å, c = 6.235 Å
α = 90.00°, β = 90.00°, γ = 90.00°
Positions (direct):
1 Er 0.041 0.250 0.150
2 Er 0.459 0.750 0.650
3 Er 0.541 0.250 0.350
4 Er 0.959 0.750 0.850
5 Th 0.171 0.062 0.664
6 Th 0.171 0.438 0.664
7 Th 0.329 0.562 0.164
8 Th 0.329 0.938 0.164
9 Th 0.671 0.062 0.836
10 Th 0.671 0.438 0.836
11 Th 0.829 0.562 0.336
12 Th 0.829 0.938 0.336
13 Ru 0.116 0.750 0.391
14 Ru 0.384 0.250 0.891
15 Ru 0.616 0.750 0.109
16 Ru 0.884 0.250 0.609

For the density of states at the Fermi level, the calculation gives 4.7 states/eV/f.u. The calculation puts the energy of formation at -304 meV per atom. The calculation puts the total moment at 0.00 μB/cell. Its polymorph energy (0 for the lowest one) is 0.000 eV/atom. Its crystal system is orthorhombic.

---

# Mg4Cd5Rh2

Mg4Cd5Rh2 after structural relaxation (PBE, Alexandria via LeMat-Bulk).

a = 7.492 Å, b = 3.119 Å, c = 9.545 Å
α = 90.00°, β = 92.67°, γ = 90.00°
Positions (direct):
1 Mg 0.178 0.000 0.364
2 Mg 0.197 0.000 0.945
3 Mg 0.803 0.000 0.055
4 Mg 0.822 0.000 0.636
5 Cd 0.185 0.500 0.660
6 Cd 0.451 0.500 0.164
7 Cd 0.500 0.500 0.500
8 Cd 0.549 0.500 0.836
9 Cd 0.815 0.500 0.340
10 Rh 0.079 0.500 0.151
11 Rh 0.921 0.500 0.849

For the density of states at the Fermi level, the calculation gives 4.2 states/eV/f.u. The calculation puts the energy of formation at -221 meV per atom. The calculation puts the total moment at 0.00 μB/cell. Its crystal system is monoclinic.